Record 1
The following is a PBE calculation of a geometry-optimized AlTcTe2 structure, from Alexandria.

The structure in POSCAR format:
```
AlTcTe2
1.0
3.143 0.005 0.000
-1.394 2.817 0.000
0.000 0.000 10.059
Te Tc Al
2 1 1
direct
0.000 0.000 0.964
0.000 0.000 0.536
0.500 0.500 0.750
0.500 0.500 0.250
```

The density of states at the Fermi level is 0.96 states/eV/atom. The final energy is -4.59 eV per atom. For the formation energy (no corrections), the calculation gives 0.512 eV/atom. As for the space group: Cmmm.

***

Record 2
The following is a PBE calculation of a geometry-optimized Sr5CaTl4 structure, from Alexandria.

The structure in POSCAR format:
```
Sr5CaTl4
1.0
-0.288 -0.014 4.101
3.949 -1.108 0.274
5.903 21.168 0.486
Sr Ca Tl
5 1 4
direct
0.500 0.500 0.132
0.500 0.500 0.313
0.500 0.500 0.500
0.500 0.500 0.687
0.500 0.500 0.868
0.000 0.000 0.000
0.000 0.000 0.219
0.000 0.000 0.407
0.000 0.000 0.593
0.000 0.000 0.781
```

The density of states at the Fermi level is 0.91 states/eV/atom. The final energy is -2.33 eV per atom. As for the space group: P4/mmm. The value obtained for the formation enthalpy at 0 K is -0.342 eV/atom.

***

Record 3
The following is a PBE calculation of a geometry-optimized PaZnBr structure, from Alexandria.

The structure in POSCAR format:
```
PaZnBr
1.0
3.388 0.000 0.000
1.694 2.936 -0.172
1.694 0.048 15.084
Pa Zn Br
2 2 2
direct
0.806 0.108 0.281
0.194 0.892 0.719
0.629 0.183 0.559
0.371 0.817 0.441
0.233 0.400 0.135
0.767 0.600 0.865
```

The density of states at the Fermi level is 0.99 states/eV/atom. The final energy is -4.59 eV per atom. For the formation energy (no corrections), the calculation gives -0.446 eV/atom. As for the space group: C2/m.

***

Record 4
The following is a PBE calculation of a geometry-optimized TiNiRh structure, from Alexandria.

The structure in POSCAR format:
```
TiNiRh
1.0
-0.679 0.758 -6.364
-5.465 -3.436 -3.090
-5.537 3.966 -2.200
Rh Ni Ti
6 6 6
direct
0.290 0.930 0.430
0.651 0.070 0.570
0.767 0.513 0.013
0.293 0.487 0.987
0.789 0.272 0.772
0.833 0.728 0.228
0.488 0.500 0.500
0.488 0.000 0.000
0.223 0.960 0.823
0.007 0.040 0.177
0.007 0.677 0.540
0.223 0.323 0.460
0.324 0.685 0.185
0.194 0.315 0.815
0.587 0.698 0.653
0.937 0.302 0.347
0.937 0.847 0.802
0.587 0.153 0.198
```

The density of states at the Fermi level is 0.66 states/eV/atom. The final energy is -7.45 eV per atom. As for the space group: Ima2. The value obtained for the formation enthalpy at 0 K is -0.445 eV/atom.

***

Record 5
The following is a PBE calculation of a geometry-optimized Tl3In structure, from Alexandria.

The structure in POSCAR format:
```
Tl3In
1.0
6.214 0.281 0.000
2.293 5.783 0.000
-4.254 -3.032 3.378
Tl In
3 1
direct
0.250 0.750 0.500
0.500 0.500 0.000
0.750 0.250 0.500
0.000 0.000 0.000
```

The density of states at the Fermi level is 0.53 states/eV/atom. The final energy is -2.43 eV per atom. As for the space group: I4/mmm. The value obtained for the formation enthalpy at 0 K is 0.028 eV/atom.

***

Record 6
The following is a PBE calculation of a geometry-optimized CuAgPt2 structure, from Alexandria.

The structure in POSCAR format:
```
CuAgPt2
1.0
-1.996 -1.077 4.937
3.349 -0.138 4.276
-2.317 2.731 -4.085
Cu Ag Pt
1 1 2
direct
0.250 0.750 0.500
0.750 0.250 0.500
0.014 0.014 0.000
0.486 0.486 0.000
```

The density of states at the Fermi level is 0.43 states/eV/atom. The final energy is -4.82 eV per atom. The calculation puts the polymorph energy (0 for the lowest one) at 71 meV per atom. As for the space group: Immm. The value obtained for the formation enthalpy at 0 K is -0.064 eV/atom.

***

Record 7
The following is a PBE calculation of a geometry-optimized ThScAgAu structure, from Alexandria.

The structure in POSCAR format:
```
ThScAgAu
1.0
-1.989 -4.439 -1.537
1.629 -2.164 -4.322
2.811 -4.253 0.179
Sc Au Ag Th
1 1 1 1
direct
0.000 0.000 0.000
0.750 0.750 0.750
0.250 0.250 0.250
0.500 0.500 0.500
```

The density of states at the Fermi level is 1.16 states/eV/atom. The final energy is -5.34 eV per atom. As for the space group: F-43m. The value obtained for the formation enthalpy at 0 K is -0.371 eV/atom.

***

Record 8
The following is a PBE calculation of a geometry-optimized ZnRuS3 structure, from Alexandria.

The structure in POSCAR format:
```
ZnRuS3
1.0
-2.069 2.844 -3.009
0.306 -3.250 -3.282
-4.129 -1.666 1.265
Ru Zn S
1 1 3
direct
0.000 0.000 0.000
0.500 0.500 0.500
0.000 0.500 0.000
0.000 0.000 0.500
0.500 0.000 0.000
```

The density of states at the Fermi level is 1.33 states/eV/atom. The final energy is -4.14 eV per atom. For the formation energy (no corrections), the calculation gives 0.444 eV/atom. As for the space group: Pm-3m.

***

Record 9
The following is a PBE calculation of a geometry-optimized AcTbCd2Hg4 structure, from Alexandria.

The structure in POSCAR format:
```
AcTbCd2Hg4
1.0
5.228 0.000 0.000
2.614 4.528 0.000
2.614 1.509 8.665
Ac Tb Cd Hg
1 1 2 4
direct
0.000 0.000 0.000
0.500 0.500 0.500
0.751 0.751 0.748
0.249 0.249 0.252
0.382 0.382 0.854
0.870 0.870 0.390
0.130 0.130 0.610
0.618 0.618 0.146
```

The density of states at the Fermi level is 0.37 states/eV/atom. The final energy is -1.86 eV per atom. As for the space group: R-3m. The value obtained for the formation enthalpy at 0 K is -0.391 eV/atom.

***

Record 10
The following is a PBE calculation of a geometry-optimized DyHoPbS structure, from Alexandria.

The structure in POSCAR format:
```
DyHoPbS
1.0
3.783 0.010 -0.002
-1.882 3.279 0.001
-1.897 -1.099 8.120
Dy Ho Pb S
1 1 1 1
direct
0.341 0.568 0.921
0.933 0.365 0.313
0.468 0.131 0.618
0.136 0.967 0.117
```

The density of states at the Fermi level is 0.49 states/eV/atom. The final energy is -5.46 eV per atom. For the formation energy (no corrections), the calculation gives -1.211 eV/atom. As for the space group: P1.

***

Record 11
The following is a PBE calculation of a geometry-optimized RbSrZnS2 structure, from Alexandria.

The structure in POSCAR format:
```
RbSrZnS2
1.0
-4.811 -1.116 1.497
2.194 -7.096 1.760
1.455 3.930 7.603
Rb Sr Zn S
2 2 2 4
direct
0.158 0.500 0.750
0.842 0.500 0.250
0.491 0.000 0.250
0.509 0.000 0.750
0.000 0.000 0.000
0.000 0.000 0.500
0.704 0.774 0.968
0.704 0.226 0.532
0.296 0.774 0.468
0.296 0.226 0.032
```

The density of states at the Fermi level is 0.41 states/eV/atom. The final energy is -3.42 eV per atom. For the formation energy (no corrections), the calculation gives -0.985 eV/atom. As for the space group: P2/c.

***

Record 12
The following is a PBE calculation of a geometry-optimized ScTc2Se structure, from Alexandria.

The structure in POSCAR format:
```
ScTc2Se
1.0
3.081 0.000 0.000
0.000 4.067 0.000
0.000 0.000 5.198
Sc Se Tc
1 1 2
direct
0.000 0.000 0.513
0.500 0.500 0.740
0.000 0.000 0.025
0.500 0.500 0.222
```

The density of states at the Fermi level is 0.77 states/eV/atom. The final energy is -7.79 eV per atom. For the formation energy (no corrections), the calculation gives -0.153 eV/atom. As for the space group: Pmm2.

***

Record 13
The following is a PBE calculation of a geometry-optimized LiTmZn2 structure, from Alexandria.

The structure in POSCAR format:
```
LiTmZn2
1.0
3.312 0.000 0.000
0.000 3.312 0.000
0.000 0.000 6.789
Zn Tm Li
2 1 1
direct
0.000 0.000 0.786
0.000 0.000 0.214
0.500 0.500 0.500
0.500 0.500 0.000
```

The density of states at the Fermi level is 0.74 states/eV/atom. The final energy is -2.45 eV per atom. The calculation puts the polymorph energy (0 for the lowest one) at 23 meV per atom. As for the space group: P4/mmm. The value obtained for the formation enthalpy at 0 K is -0.213 eV/atom.

***

Record 14
The following is a PBE calculation of a geometry-optimized SrCeBiO6 structure, from Alexandria.

The structure in POSCAR format:
```
SrCeBiO6
1.0
-5.661 -1.688 0.245
3.418 -0.409 4.807
-2.722 9.532 2.746
Sr Ce Bi O
2 2 2 12
direct
0.000 0.000 0.000
0.000 0.000 0.500
0.333 0.667 0.250
0.667 0.333 0.750
0.667 0.333 0.250
0.333 0.667 0.750
0.648 0.631 0.139
0.983 0.352 0.139
0.352 0.983 0.639
0.017 0.648 0.861
0.369 0.352 0.361
0.983 0.631 0.361
0.631 0.983 0.861
0.648 0.017 0.361
0.017 0.369 0.639
0.369 0.017 0.139
0.631 0.648 0.639
0.352 0.369 0.861
```

The density of states at the Fermi level is 0.90 states/eV/atom. The final energy is -6.52 eV per atom. For the formation energy (no corrections), the calculation gives -1.938 eV/atom. As for the space group: P-31c.

***

Record 15
The following is a PBE calculation of a geometry-optimized Eu2IrCl structure, from Alexandria.

The structure in POSCAR format:
```
Eu2IrCl
1.0
4.148 0.000 0.000
2.074 3.592 0.000
2.074 1.197 7.385
Eu Ir Cl
2 1 1
direct
0.739 0.739 0.784
0.261 0.261 0.216
0.000 0.000 0.000
0.500 0.500 0.500
```

The density of states at the Fermi level is 2.63 states/eV/atom. The final energy is -8.84 eV per atom. The calculation puts the polymorph energy (0 for the lowest one) at 0 meV per atom. For the formation energy (no corrections), the calculation gives -1.028 eV/atom. As for the space group: R-3m.

***

Record 16
The following is a PBE calculation of a geometry-optimized CdPtSe2 structure, from Alexandria.

The structure in POSCAR format:
```
CdPtSe2
1.0
6.986 -0.007 -0.004
5.870 3.787 -0.004
5.870 1.726 3.371
Cd Pt Se
1 1 2
direct
0.499 0.499 0.499
0.741 0.741 0.741
0.025 0.025 0.025
0.235 0.235 0.235
```

The density of states at the Fermi level is 0.67 states/eV/atom. The final energy is -3.62 eV per atom. For the formation energy (no corrections), the calculation gives -0.138 eV/atom. As for the space group: R3m.

***

Record 17
The following is a PBE calculation of a geometry-optimized Pr2TmMg5Cd2 structure, from Alexandria.

The structure in POSCAR format:
```
Pr2TmMg5Cd2
1.0
-3.220 3.171 1.242
-5.497 -2.125 -8.829
-5.410 -7.523 5.179
Pr Tm Mg Cd
4 2 10 4
direct
0.000 0.681 0.181
0.000 0.319 0.819
0.000 0.181 0.319
0.000 0.819 0.681
0.000 0.000 0.000
0.000 0.500 0.500
0.500 0.210 0.059
0.500 0.790 0.941
0.500 0.059 0.790
0.500 0.710 0.441
0.500 0.941 0.210
0.500 0.290 0.559
0.500 0.559 0.710
0.500 0.441 0.290
0.500 0.500 0.000
0.500 0.000 0.500
0.000 0.115 0.615
0.000 0.885 0.385
0.000 0.615 0.885
0.000 0.385 0.115
```

The density of states at the Fermi level is 0.61 states/eV/atom. The final energy is -2.54 eV per atom. As for the space group: P4/mbm. The value obtained for the formation enthalpy at 0 K is -0.158 eV/atom.

***

Record 18
The following is a PBE calculation of a geometry-optimized CoSbOs2 structure, from Alexandria.

The structure in POSCAR format:
```
CoSbOs2
1.0
-3.329 0.031 3.270
-4.544 -0.760 0.745
0.178 -4.547 1.339
Co Os Sb
1 2 1
direct
0.254 0.254 0.239
0.999 0.999 0.995
0.744 0.744 0.789
0.502 0.502 0.477
```

The density of states at the Fermi level is 0.75 states/eV/atom. The final energy is -7.96 eV per atom. The calculation puts the polymorph energy (0 for the lowest one) at 15 meV per atom. For the formation energy (no corrections), the calculation gives 0.460 eV/atom. As for the space group: Cm.

***

Record 19
The following is a PBE calculation of a geometry-optimized SrY2BeSe structure, from Alexandria.

The structure in POSCAR format:
```
SrY2BeSe
1.0
5.580 0.000 0.000
0.000 4.618 0.000
0.000 0.000 5.580
Y Sr Se Be
2 1 1 1
direct
0.000 0.000 0.500
0.500 0.000 0.000
0.500 0.500 0.500
0.000 0.000 0.000
0.000 0.500 0.000
```

The density of states at the Fermi level is 1.28 states/eV/atom. The final energy is -4.40 eV per atom. For the formation energy (no corrections), the calculation gives -0.037 eV/atom. As for the space group: P4/mmm.

***

Record 20
The following is a PBE calculation of a geometry-optimized RbCd2Bi2 structure, from Alexandria.

The structure in POSCAR format:
```
RbCd2Bi2
1.0
9.528 0.000 0.000
0.000 9.528 0.000
0.000 0.000 3.573
Bi Rb Cd
4 2 4
direct
0.360 0.860 0.000
0.860 0.640 0.000
0.640 0.140 0.000
0.140 0.360 0.000
0.000 0.000 0.000
0.500 0.500 0.000
0.151 0.651 0.500
0.651 0.849 0.500
0.849 0.349 0.500
0.349 0.151 0.500
```

The density of states at the Fermi level is 0.43 states/eV/atom. The final energy is -2.17 eV per atom. The calculation puts the polymorph energy (0 for the lowest one) at 164 meV per atom. As for the space group: P4/mbm. The value obtained for the formation enthalpy at 0 K is -0.054 eV/atom.

***

Record 21
The following is a PBE calculation of a geometry-optimized NdPu3Ni8 structure, from Alexandria.

The structure in POSCAR format:
```
NdPu3Ni8
1.0
-4.102 2.803 -0.996
1.121 -3.980 -2.928
-4.573 -4.934 4.955
Nd Pu Ni
1 3 8
direct
0.000 0.000 0.569
0.667 0.333 0.423
0.667 0.333 0.057
0.000 0.000 0.951
0.333 0.667 0.499
0.333 0.667 0.998
0.499 0.999 0.753
0.499 0.501 0.753
0.001 0.501 0.753
0.169 0.338 0.248
0.169 0.831 0.248
0.662 0.831 0.248
```

The density of states at the Fermi level is 2.73 states/eV/atom. The final energy is -8.08 eV per atom. As for the space group: P3m1. The value obtained for the formation enthalpy at 0 K is -0.245 eV/atom.

***

Record 22
The following is a PBE calculation of a geometry-optimized ZrBeNi2 structure, from Alexandria.

The structure in POSCAR format:
```
ZrBeNi2
1.0
-1.619 -1.493 1.611
2.297 -2.348 0.133
2.323 2.537 4.685
Ni Zr Be
2 1 1
direct
0.000 0.000 0.968
0.500 0.500 0.206
0.000 0.000 0.499
0.500 0.500 0.826
```

The density of states at the Fermi level is 0.91 states/eV/atom. The final energy is -6.15 eV per atom. The calculation puts the polymorph energy (0 for the lowest one) at 250 meV per atom. As for the space group: Pmm2. The value obtained for the formation enthalpy at 0 K is -0.191 eV/atom.

***

Record 23
The following is a PBE calculation of a geometry-optimized Pr6SmHo2Er structure, from Alexandria.

The structure in POSCAR format:
```
Pr6SmHo2Er
1.0
-4.823 -2.559 -8.028
7.735 1.430 -4.382
-1.107 -8.019 3.943
Pr Sm Ho Er
12 2 4 2
direct
0.054 0.115 0.761
0.446 0.239 0.885
0.946 0.885 0.239
0.554 0.761 0.115
0.311 0.994 0.437
0.189 0.563 0.006
0.689 0.006 0.563
0.811 0.437 0.994
0.117 0.706 0.488
0.383 0.512 0.294
0.883 0.294 0.512
0.617 0.488 0.706
0.250 0.973 0.027
0.750 0.027 0.973
0.453 0.799 0.702
0.047 0.298 0.201
0.547 0.201 0.298
0.953 0.702 0.799
0.250 0.412 0.588
0.750 0.588 0.412
```

The density of states at the Fermi level is 1.46 states/eV/atom. The final energy is -4.60 eV per atom. As for the space group: C2/c. The value obtained for the formation enthalpy at 0 K is 0.114 eV/atom.

***

Record 24
The following is a PBE calculation of a geometry-optimized Ac2LaNd7 structure, from Alexandria.

The structure in POSCAR format:
```
Ac2LaNd7
1.0
3.636 0.000 0.000
0.000 14.700 -4.992
0.000 -11.087 10.867
Ac La Nd
2 1 7
direct
0.500 0.706 0.294
0.500 0.294 0.706
0.000 0.000 0.000
0.000 0.816 0.184
0.000 0.184 0.816
0.500 0.149 0.343
0.500 0.851 0.657
0.500 0.343 0.149
0.500 0.657 0.851
0.500 0.500 0.500
```

The density of states at the Fermi level is 1.75 states/eV/atom. The final energy is -4.51 eV per atom. The calculation puts the polymorph energy (0 for the lowest one) at 0 meV per atom. As for the space group: Cmmm. The value obtained for the formation enthalpy at 0 K is 0.147 eV/atom.